# 1
LaEu2Au, optimized geometry, DFT PBE-GGA; E above lowest polymorph = 82 meV per atom; magnetic moment = 14.7 μB/f.u.; DOS at the Fermi energy = 2.75 states/eV/atom; formation energy = -0.27 eV per atom
1.0
3.938 0.000 0.000
1.969 3.411 0.000
1.969 1.137 10.583
Eu La Au
2 1 1
Cartesian
1.969 1.137 3.222
5.908 3.411 7.361
0.000 0.000 0.000
3.938 2.274 5.291

# 2
LaEuMgAu, optimized geometry, DFT PBE-GGA; magnetic moment = 7.3 μB/f.u.; DOS at the Fermi energy = 1.90 states/eV/atom; formation energy = -0.38 eV per atom
1.0
5.445 0.000 0.000
2.723 4.716 0.000
2.723 1.572 4.446
Eu Au La Mg
1 1 1 1
Cartesian
8.168 4.716 3.335
0.000 0.000 0.000
2.723 1.572 1.112
5.445 3.144 2.223

# 3
NaLaEuAu, optimized geometry, DFT PBE-GGA; magnetic moment = 7.2 μB/f.u.; DOS at the Fermi energy = 1.83 states/eV/atom; formation energy = -0.24 eV per atom
1.0
5.487 0.000 0.000
2.744 4.752 0.000
2.744 1.584 4.480
La Eu Na Au
1 1 1 1
Cartesian
8.231 4.752 3.360
2.744 1.584 1.120
5.487 3.168 2.240
0.000 0.000 0.000

# 4
LaEuPbAu, optimized geometry, DFT PBE-GGA; magnetic moment = 7.1 μB/f.u.; DOS at the Fermi energy = 2.58 states/eV/atom; formation energy = -0.69 eV per atom
1.0
5.515 0.000 0.000
2.757 4.776 0.000
2.757 1.592 4.503
Au La Eu Pb
1 1 1 1
Cartesian
8.272 4.776 3.377
0.000 0.000 0.000
5.515 3.184 2.251
2.757 1.592 1.126

Calculated uncorrected energy in order - -29.835 -21.596 -20.748 -24.929 eV for the cell shown